This record from Alexandria via LeMat-Bulk describes a relaxed LiZrSc2 crystal. The functional is GGA-PBE.

## Properties
The calculation puts the relative energy among the computed polymorphs at 0.0734 eV/atom. The value obtained for the density is 3.50 g/cm3. Its crystal system is tetragonal. The value obtained for the spin magnetization is 0.3 Bohr magnetons per cell. For the uncorrected energy, the calculation gives -5.66 eV per atom. The symmetry is P4mm, No. 99.

```
LiZrSc2
1.0
3.221 0.000 0.000
0.000 3.221 0.000
0.000 0.000 8.601
Li Zr Sc
1 1 2
direct
0.000 0.000 0.000 Li
0.500 0.500 0.761 Zr
0.000 0.000 0.514 Sc
0.500 0.500 0.237 Sc
```